A plane-wave DFT calculation with PBE was carried out for an optimized crystal structure of Nd6Ag5Ir.

Summary:
**Space group**: Cmmm
**Formation enthalpy at 0 K**: -0.336 eV per atom

Cell: 8.2972 8.2972 7.4865 Å, 90.00 90.00 143.20°
With the nearest neighbours (Å) after each atom.
Fractional coordinates of all 12 atoms:
Nd 0.0000 0.0000 0.2326  2 Ir 3.14, 6 Ag 3.30-3.33, 1 Nd 3.48
Nd 0.0000 0.0000 0.7674  2 Ir 3.14, 6 Ag 3.30-3.33, 1 Nd 3.48
Nd 0.3434 0.6566 0.2418  1 Ir 3.06, 7 Ag 3.13-3.38
Nd 0.3434 0.6566 0.7582  1 Ir 3.06, 7 Ag 3.13-3.38
Nd 0.6566 0.3434 0.2418  1 Ir 3.06, 7 Ag 3.13-3.38
Nd 0.6566 0.3434 0.7582  1 Ir 3.06, 7 Ag 3.13-3.38
Ag 0.1674 0.8326 0.5000  8 Nd 3.26-3.38
Ag 0.1803 0.8197 0.0000  8 Nd 3.14-3.33, 2 Ag 3.42
Ag 0.5000 0.5000 0.5000  8 Nd 3.13-3.30
Ag 0.8197 0.1803 0.0000  8 Nd 3.14-3.33, 2 Ag 3.42
Ag 0.8326 0.1674 0.5000  8 Nd 3.26-3.38
Ir 0.5000 0.5000 0.0000  8 Nd 3.06-3.14